DFT (GGA-PBE) results for an optimized crystal structure of La8Tc2Rh.

As for the calculated volume: 699.8 Å³ per cell. For the total magnetization, the calculation gives 0.00 μB/atom. As for the energy of formation from the pure elements: -136 meV/atom.

The structure belongs to space group C2/m (No. 12); the cell edges are 19.1708, 4.1121 and 8.8947 Å and the angles 90.00°, 93.68° and 90.00°. Symmetry generates all atoms from La at (0.0069, 0.0000, 0.2148), La at (0.0998, 0.5000, 0.5444), La at (0.1543, 0.5000, 0.9541), La at (0.2215, 0.0000, 0.3286), Tc at (0.1690, 0.0000, 0.7007) and Rh at (0.0000, 0.5000, 0.0000).